DFT (PBE with a Hubbard U) results for crystalline Rb2MoBr4F2 at its relaxed geometry.

Calculated values
- size of the total moment (μB per formula unit) = 2.00
- N(E_F) (states/eV/cell) = 0.0
- crystal system = monoclinic
- electronic total energy (eV per atom) = -3.82

Cell: 7.1403 7.1403 6.2572 Å, 103.93 103.93 65.48°
Fractional positions:
1 Rb 0.1797 0.1797 0.3154
2 Rb 0.8203 0.8203 0.6846
3 Mo 0.5000 0.5000 0.0000
4 Br 0.1691 0.6512 0.1892
5 Br 0.3488 0.8309 0.8108
6 Br 0.6512 0.1691 0.1892
7 Br 0.8309 0.3488 0.8108
8 F 0.3587 0.3587 0.7417
9 F 0.6413 0.6413 0.2583